[1]
Below is crystalline SrLaSb2 at its relaxed geometry, with properties calculated at the PBE-GGA level.

Computed properties:
**Calculated volume**: 293.2 Å³/cell
**Energy**: -4.714 eV/atom

The structure in CIF format:
```
data_SrLaSb2
_chemical_formula_sum 'Sr2 La2 Sb4'
_symmetry_space_group_name_H-M 'C 1 2/m 1'
_symmetry_Int_Tables_number 12
_symmetry_space_group_name_Hall '-C 2y'
_cell_length_a 8.098
_cell_length_b 4.659
_cell_length_c 8.220
_cell_angle_alpha 90.00
_cell_angle_beta 109.00
_cell_angle_gamma 90.00
loop_
_atom_site_label
_atom_site_fract_x
_atom_site_fract_y
_atom_site_fract_z
Sr1 0.000 0.000 0.000
La1 0.000 0.500 0.500
Sb1 0.245 0.000 0.736
```

[2]
Below is crystalline SrLaSb2 at its relaxed geometry, with properties calculated at the PBE-GGA level.

Computed properties:
**Calculated volume**: 437.2 Å³/cell
**Energy**: -3.828 eV/atom

The structure in CIF format:
```
data_SrLaSb2
_chemical_formula_sum 'Sr3 La3 Sb6'
_symmetry_space_group_name_H-M 'R 3 m'
_symmetry_Int_Tables_number 160
_symmetry_space_group_name_Hall 'R 3 -2"'
_cell_length_a 4.0211
_cell_length_b 4.0211
_cell_length_c 31.2243
_cell_angle_alpha 90.00
_cell_angle_beta 90.00
_cell_angle_gamma 120.00
loop_
_atom_site_label
_atom_site_fract_x
_atom_site_fract_y
_atom_site_fract_z
Sr1 0.0000 0.0000 0.0000
La1 0.0000 0.0000 0.2239
Sb1 0.0000 0.0000 0.4787
Sb2 0.0000 0.0000 0.7507
```

[3]
Below is crystalline SrLaSb2 at its relaxed geometry, with properties calculated at the PBE-GGA level.

Computed properties:
**Calculated volume**: 495.6 Å³/cell
**Energy**: -4.089 eV/atom

The structure in CIF format:
```
data_SrLaSb2
_chemical_formula_sum 'Sr4 La4 Sb8'
_symmetry_space_group_name_H-M 'F -4 3 m'
_symmetry_Int_Tables_number 216
_symmetry_space_group_name_Hall 'F -4 2 3'
_cell_length_a 7.913
_cell_length_b 7.913
_cell_length_c 7.913
_cell_angle_alpha 90.00
_cell_angle_beta 90.00
_cell_angle_gamma 90.00
loop_
_atom_site_label
_atom_site_fract_x
_atom_site_fract_y
_atom_site_fract_z
Sr1 0.000 0.000 0.000
La1 0.250 0.250 0.750
Sb1 0.000 0.000 0.500
Sb2 0.250 0.250 0.250
```

[4]
Below is crystalline SrLaSb at its relaxed geometry, with properties calculated at the PBE-GGA level.

Computed properties:
**Calculated volume**: 133.5 Å³/cell
**Energy**: -4.208 eV/atom

The structure in CIF format:
```
data_SrLaSb
_chemical_formula_sum 'Sr1 La1 Sb1'
_symmetry_space_group_name_H-M 'P 3 m 1'
_symmetry_Int_Tables_number 156
_symmetry_space_group_name_Hall 'P 3 -2"'
_cell_length_a 4.5453
_cell_length_b 4.5453
_cell_length_c 7.4596
_cell_angle_alpha 90.00
_cell_angle_beta 90.00
_cell_angle_gamma 120.00
loop_
_atom_site_label
_atom_site_fract_x
_atom_site_fract_y
_atom_site_fract_z
Sr1 0.0000 0.0000 0.0000
La1 0.3333 0.6667 0.4915
Sb1 0.6667 0.3333 0.7228
```

[5]
Below is crystalline SrLaSb at its relaxed geometry, with properties calculated at the PBE-GGA level.

Computed properties:
**Calculated volume**: 455.1 Å³/cell
**Energy**: -4.242 eV/atom

The structure in CIF format:
```
data_SrLaSb
_chemical_formula_sum 'Sr4 La4 Sb4'
_symmetry_space_group_name_H-M 'F -4 3 m'
_symmetry_Int_Tables_number 216
_symmetry_space_group_name_Hall 'F -4 2 3'
_cell_length_a 7.692
_cell_length_b 7.692
_cell_length_c 7.692
_cell_angle_alpha 90.00
_cell_angle_beta 90.00
_cell_angle_gamma 90.00
loop_
_atom_site_label
_atom_site_fract_x
_atom_site_fract_y
_atom_site_fract_z
Sr1 0.000 0.000 0.000
La1 0.000 0.000 0.500
Sb1 0.250 0.250 0.750
```

[6]
Below is crystalline SrLaSb2 at its relaxed geometry, with properties calculated at the PBE-GGA level.

Computed properties:
**Calculated volume**: 269.3 Å³/cell
**Energy**: -4.687 eV/atom

The structure in CIF format:
```
data_SrLaSb2
_chemical_formula_sum 'Sr2 La2 Sb4'
_symmetry_space_group_name_H-M 'C 1 m 1'
_symmetry_Int_Tables_number 8
_symmetry_space_group_name_Hall 'C -2y'
_cell_length_a 12.288
_cell_length_b 4.482
_cell_length_c 4.920
_cell_angle_alpha 90.00
_cell_angle_beta 96.44
_cell_angle_gamma 90.00
loop_
_atom_site_label
_atom_site_fract_x
_atom_site_fract_y
_atom_site_fract_z
Sr1 0.000 0.000 0.000
La1 0.248 0.500 0.505
Sb1 0.266 0.000 0.020
Sb2 0.475 0.000 0.488
```

[7]
Below is crystalline SrLa2Sb2 at its relaxed geometry, with properties calculated at the PBE-GGA level.

Computed properties:
**Calculated volume**: 339.5 Å³/cell
**Energy**: -4.992 eV/atom

The structure in CIF format:
```
data_SrLa2Sb2
_chemical_formula_sum 'Sr2 La4 Sb4'
_symmetry_space_group_name_H-M 'P 4/m b m'
_symmetry_Int_Tables_number 127
_symmetry_space_group_name_Hall '-P 4 2ab'
_cell_length_a 8.795
_cell_length_b 8.795
_cell_length_c 4.389
_cell_angle_alpha 90.00
_cell_angle_beta 90.00
_cell_angle_gamma 90.00
loop_
_atom_site_label
_atom_site_fract_x
_atom_site_fract_y
_atom_site_fract_z
Sr1 0.000 0.000 0.000
La1 0.151 0.349 0.500
Sb1 0.149 0.649 0.000
```

[8]
Below is crystalline SrLaSb at its relaxed geometry, with properties calculated at the PBE-GGA level.

Computed properties:
**Calculated volume**: 119.1 Å³/cell
**Energy**: -4.102 eV/atom

The structure in CIF format:
```
data_SrLaSb
_chemical_formula_sum 'Sr1 La1 Sb1'
_symmetry_space_group_name_H-M 'P 3 m 1'
_symmetry_Int_Tables_number 156
_symmetry_space_group_name_Hall 'P 3 -2"'
_cell_length_a 5.2377
_cell_length_b 5.2377
_cell_length_c 5.0110
_cell_angle_alpha 90.00
_cell_angle_beta 90.00
_cell_angle_gamma 120.00
loop_
_atom_site_label
_atom_site_fract_x
_atom_site_fract_y
_atom_site_fract_z
Sr1 0.0000 0.0000 0.0000
La1 0.6667 0.3333 0.4907
Sb1 0.3333 0.6667 0.6596
```

Look up the energy of the eighth one. -4.102 eV/atom